1.
# ZnNiCl

Crystalline ZnNiCl at its relaxed geometry (PBE-GGA, the Alexandria database).

CIF file:
```
data_ZnNiCl
_space_group_name_H-M_alt 'P 1'
_space_group_IT_number 1
_cell_length_a 5.893
_cell_length_b 5.893
_cell_length_c 5.893
_cell_angle_alpha 90.00
_cell_angle_beta 90.00
_cell_angle_gamma 90.00
loop_
_space_group_symop_operation_xyz
'x,y,z'
loop_
_atom_site_label
_atom_site_type_symbol
_atom_site_fract_x
_atom_site_fract_y
_atom_site_fract_z
Zn1 Zn 0.000 0.000 0.000
Zn2 Zn 0.000 0.500 0.500
Zn3 Zn 0.500 0.000 0.500
Zn4 Zn 0.500 0.500 0.000
Ni1 Ni 0.250 0.250 0.250
Ni2 Ni 0.250 0.750 0.750
Ni3 Ni 0.750 0.250 0.750
Ni4 Ni 0.750 0.750 0.250
Cl1 Cl 0.000 0.000 0.500
Cl2 Cl 0.000 0.500 0.000
Cl3 Cl 0.500 0.000 0.000
Cl4 Cl 0.500 0.500 0.500
```

Properties
- Energy relative to the elements, uncorrected: 0.181 eV per atom
- M_tot: 0.000 Bohr magnetons per cell

***

2.
# Rb2Na4ZnSn2

Crystalline Rb2Na4ZnSn2 at its relaxed geometry (PBE-GGA, the Alexandria database).

CIF file:
```
data_Rb2Na4ZnSn2
_space_group_name_H-M_alt 'P 1'
_space_group_IT_number 1
_cell_length_a 7.921
_cell_length_b 7.921
_cell_length_c 5.825
_cell_angle_alpha 98.44
_cell_angle_beta 98.44
_cell_angle_gamma 62.31
loop_
_space_group_symop_operation_xyz
'x,y,z'
loop_
_atom_site_label
_atom_site_type_symbol
_atom_site_fract_x
_atom_site_fract_y
_atom_site_fract_z
Rb1 Rb 0.123 0.123 0.219
Rb2 Rb 0.877 0.877 0.781
Na1 Na 0.158 0.559 0.288
Na2 Na 0.441 0.842 0.712
Na3 Na 0.559 0.158 0.288
Na4 Na 0.842 0.441 0.712
Zn1 Zn 0.500 0.500 0.000
Sn1 Sn 0.318 0.318 0.764
Sn2 Sn 0.682 0.682 0.236
```

Properties
- Formation enthalpy at 0 K: -0.0847 eV/atom
- M_tot: 0.000 Bohr magnetons per cell

***

3.
# Sn2PN

Crystalline Sn2PN at its relaxed geometry (PBE-GGA, the Alexandria database).

CIF file:
```
data_Sn2PN
_space_group_name_H-M_alt 'P 1'
_space_group_IT_number 1
_cell_length_a 6.569
_cell_length_b 6.569
_cell_length_c 6.569
_cell_angle_alpha 90.00
_cell_angle_beta 90.00
_cell_angle_gamma 90.00
loop_
_space_group_symop_operation_xyz
'x,y,z'
loop_
_atom_site_label
_atom_site_type_symbol
_atom_site_fract_x
_atom_site_fract_y
_atom_site_fract_z
Sn1 Sn 0.250 0.250 0.250
Sn2 Sn 0.250 0.250 0.750
Sn3 Sn 0.250 0.750 0.250
Sn4 Sn 0.250 0.750 0.750
Sn5 Sn 0.750 0.250 0.250
Sn6 Sn 0.750 0.250 0.750
Sn7 Sn 0.750 0.750 0.250
Sn8 Sn 0.750 0.750 0.750
P1 P 0.000 0.000 0.000
P2 P 0.000 0.500 0.500
P3 P 0.500 0.000 0.500
P4 P 0.500 0.500 0.000
N1 N 0.000 0.000 0.500
N2 N 0.000 0.500 0.000
N3 N 0.500 0.000 0.000
N4 N 0.500 0.500 0.500
```

Properties
- Energy relative to the elements, uncorrected: 0.925 eV per atom
- M_tot: 0.006 Bohr magnetons per cell

***

4.
# Li2AgSb

Crystalline Li2AgSb at its relaxed geometry (PBE-GGA, the Alexandria database).

CIF file:
```
data_Li2AgSb
_space_group_name_H-M_alt 'P 1'
_space_group_IT_number 1
_cell_length_a 4.350
_cell_length_b 4.350
_cell_length_c 7.608
_cell_angle_alpha 90.00
_cell_angle_beta 90.00
_cell_angle_gamma 90.00
loop_
_space_group_symop_operation_xyz
'x,y,z'
loop_
_atom_site_label
_atom_site_type_symbol
_atom_site_fract_x
_atom_site_fract_y
_atom_site_fract_z
Li1 Li 0.000 0.500 0.250
Li2 Li 0.000 0.500 0.750
Li3 Li 0.500 0.000 0.250
Li4 Li 0.500 0.000 0.750
Ag1 Ag 0.000 0.000 0.000
Ag2 Ag 0.500 0.500 0.500
Sb1 Sb 0.000 0.000 0.500
Sb2 Sb 0.500 0.500 0.000
```

Properties
- Energy relative to the elements, uncorrected: -0.430 eV per atom
- M_tot: 0.000 Bohr magnetons per cell

***

5.
# Tb5Dy2Y4

Crystalline Tb5Dy2Y4 at its relaxed geometry (PBE-GGA, the Alexandria database).

CIF file:
```
data_Tb5Dy2Y4
_space_group_name_H-M_alt 'P 1'
_space_group_IT_number 1
_cell_length_a 6.631
_cell_length_b 6.631
_cell_length_c 9.282
_cell_angle_alpha 104.62
_cell_angle_beta 104.62
_cell_angle_gamma 66.70
loop_
_space_group_symop_operation_xyz
'x,y,z'
loop_
_atom_site_label
_atom_site_type_symbol
_atom_site_fract_x
_atom_site_fract_y
_atom_site_fract_z
Tb1 Tb 0.000 0.000 0.000
Tb2 Tb 0.212 0.654 0.724
Tb3 Tb 0.346 0.788 0.276
Tb4 Tb 0.654 0.212 0.724
Tb5 Tb 0.788 0.346 0.276
Dy1 Dy 0.146 0.146 0.620
Dy2 Dy 0.854 0.854 0.380
Y1 Y 0.315 0.315 0.999
Y2 Y 0.330 0.330 0.378
Y3 Y 0.670 0.670 0.622
Y4 Y 0.685 0.685 0.001
```

Properties
- Formation enthalpy at 0 K: 0.1261 eV/atom
- M_tot: 0.001 Bohr magnetons per cell

***

6.
# Ti2Sb2Au

Crystalline Ti2Sb2Au at its relaxed geometry (PBE-GGA, the Alexandria database).

CIF file:
```
data_Ti2Sb2Au
_space_group_name_H-M_alt 'P 1'
_space_group_IT_number 1
_cell_length_a 7.365
_cell_length_b 7.365
_cell_length_c 3.768
_cell_angle_alpha 90.00
_cell_angle_beta 90.00
_cell_angle_gamma 90.00
loop_
_space_group_symop_operation_xyz
'x,y,z'
loop_
_atom_site_label
_atom_site_type_symbol
_atom_site_fract_x
_atom_site_fract_y
_atom_site_fract_z
Ti1 Ti 0.139 0.361 0.000
Ti2 Ti 0.361 0.861 0.000
Ti3 Ti 0.639 0.139 0.000
Ti4 Ti 0.861 0.639 0.000
Sb1 Sb 0.159 0.659 0.500
Sb2 Sb 0.341 0.159 0.500
Sb3 Sb 0.659 0.841 0.500
Sb4 Sb 0.841 0.341 0.500
Au1 Au 0.000 0.000 0.000
Au2 Au 0.500 0.500 0.000
```

Properties
- Energy relative to the elements, uncorrected: -0.312 eV per atom
- M_tot: 0.001 Bohr magnetons per cell

***

> Which formula does entry 6 have?

Ti2Sb2Au